Material: Sm3Ag2Rh
Method: DFT, PBE
State: optimized geometry

Calculated values
Space group: P-3m1 (164)
Magnetic moment in μB/cell: 0.000
E_form in eV per atom: -0.424
Offset from the most stable computed form in eV per atom: 0.000

The structure in POSCAR format:
```
Sm3Ag2Rh
1.0
5.1237 0.0000 0.0000
-2.5619 4.4373 0.0000
0.0000 0.0000 6.3407
Sm Ag Rh
3 2 1
direct
0.0000 0.0000 0.5000 Sm
0.6667 0.3333 0.8539 Sm
0.3333 0.6667 0.1461 Sm
0.6667 0.3333 0.3534 Ag
0.3333 0.6667 0.6466 Ag
0.0000 0.0000 0.0000 Rh
```

***

Material: Ca2BeZnPt
Method: DFT, PBE
State: optimized geometry

Calculated values
Space group: P4/mmm (123)
Magnetic moment in μB/cell: 0.000
E_form in eV per atom: 0.064

The structure in POSCAR format:
```
Ca2BeZnPt
1.0
-1.0193 -4.9455 1.4533
3.3036 -1.3062 -2.1279
2.9997 0.6356 4.2669
Be Zn Ca Pt
1 1 2 1
direct
0.0000 0.0000 0.0000 Be
0.0000 0.5000 0.0000 Zn
0.0000 0.0000 0.5000 Ca
0.5000 0.0000 0.0000 Ca
0.5000 0.5000 0.5000 Pt
```

***

Material: Mg2BeB2Ir5
Method: DFT, PBE
State: optimized geometry

Calculated values
Space group: P4/mbm (127)
Magnetic moment in μB/cell: 0.000
E_form in eV per atom: -0.504

The structure in POSCAR format:
```
Mg2BeB2Ir5
1.0
9.2871 0.0000 0.0000
0.0000 9.2871 0.0000
0.0000 0.0000 2.8993
Mg Be B Ir
4 2 4 10
direct
0.8238 0.3238 0.0000 Mg
0.1762 0.6762 0.0000 Mg
0.3238 0.1762 0.0000 Mg
0.6762 0.8238 0.0000 Mg
0.5000 0.5000 0.0000 Be
0.0000 0.0000 0.0000 Be
0.6305 0.1305 0.0000 B
0.3695 0.8695 0.0000 B
0.1305 0.3695 0.0000 B
0.8695 0.6305 0.0000 B
0.5000 0.0000 0.5000 Ir
0.0000 0.5000 0.5000 Ir
0.7068 0.5686 0.5000 Ir
0.2932 0.4314 0.5000 Ir
0.2068 0.9314 0.5000 Ir
0.7932 0.0686 0.5000 Ir
0.4314 0.7068 0.5000 Ir
0.5686 0.2932 0.5000 Ir
0.0686 0.2068 0.5000 Ir
0.9314 0.7932 0.5000 Ir
```

***

Material: NpZn2CdPt2
Method: DFT, PBE
State: optimized geometry

Calculated values
Space group: P-3m1 (164)
Magnetic moment in μB/cell: 3.834
E_form in eV per atom: -0.373

The structure in POSCAR format:
```
NpZn2CdPt2
1.0
4.4360 0.0000 0.0000
-2.2180 3.8417 0.0000
0.0000 0.0000 6.5863
Np Zn Cd Pt
1 2 1 2
direct
0.0000 0.0000 0.0000 Np
0.3333 0.6667 0.6974 Zn
0.6667 0.3333 0.3026 Zn
0.0000 0.0000 0.5000 Cd
0.3333 0.6667 0.2512 Pt
0.6667 0.3333 0.7488 Pt
```

***

Material: TbTiSb3
Method: DFT, PBE
State: optimized geometry

Calculated values
Space group: Pbcm (57)
Magnetic moment in μB/cell: 0.000
Raw formation energy in eV per atom: -0.68

The structure in POSCAR format:
```
TbTiSb3
1.0
6.1540 0.0000 0.0000
0.0000 6.2937 0.0000
0.0000 0.0000 12.9748
Tb Ti Sb
4 4 12
direct
0.7500 0.4911 0.6839 Tb
0.2500 0.5089 0.3161 Tb
0.7500 0.9911 0.3161 Tb
0.2500 0.0089 0.6839 Tb
0.5000 0.2500 0.0934 Ti
0.0000 0.7500 0.9066 Ti
0.5000 0.7500 0.9066 Ti
0.0000 0.2500 0.0934 Ti
0.0000 0.2500 0.4972 Sb
0.5000 0.7500 0.5028 Sb
0.0000 0.7500 0.5028 Sb
0.5000 0.2500 0.4972 Sb
0.2500 0.1123 0.9264 Sb
0.7500 0.8877 0.0736 Sb
0.2500 0.6123 0.0736 Sb
0.7500 0.3877 0.9264 Sb
0.2500 0.5022 0.7678 Sb
0.7500 0.4978 0.2322 Sb
0.2500 0.0022 0.2322 Sb
0.7500 0.9978 0.7678 Sb
```

***

Material: Ba6Pt2RhBr3
Method: DFT, PBE
State: optimized geometry

Calculated values
Space group: C2/m (12)
Magnetic moment in μB/cell: 0.000
Raw formation energy in eV per atom: -1.17

The structure in POSCAR format:
```
Ba6Pt2RhBr3
1.0
7.9100 -0.0013 0.0006
-3.9542 6.8507 0.0006
-1.3189 -2.2836 8.2562
Ba Pt Rh Br
6 2 1 3
direct
0.9294 0.6031 0.7880 Ba
0.7442 0.7442 0.2118 Ba
0.0706 0.3969 0.2120 Ba
0.6031 0.9294 0.7880 Ba
0.2558 0.2558 0.7882 Ba
0.3969 0.0706 0.2120 Ba
0.3332 0.6668 0.0000 Pt
0.6668 0.3332 0.0000 Pt
0.0000 0.0000 0.0000 Rh
0.1659 0.8341 0.5000 Br
0.8341 0.1659 0.5000 Br
0.5000 0.5000 0.5000 Br
```

***

Material: La2ScTlO
Method: DFT, PBE
State: optimized geometry

Calculated values
Space group: P4/mmm (123)
Magnetic moment in μB/cell: 0.000
Raw formation energy in eV per atom: -1.34
Offset from the most stable computed form in eV per atom: 0.000

The structure in POSCAR format:
```
La2ScTlO
1.0
-3.1535 -1.5026 -3.8308
-2.1287 -3.5348 3.1388
-3.0271 2.9932 1.3179
Sc Tl O La
1 1 1 2
direct
0.0000 0.0000 0.5000 Sc
0.5000 0.5000 0.5000 Tl
0.0000 0.0000 0.0000 O
0.0000 0.5000 0.0000 La
0.5000 0.0000 0.0000 La
```

***

Material: Na3LiGa
Method: DFT, PBE
State: optimized geometry

Calculated values
Space group: Pm-3m (221)
Magnetic moment in μB/cell: 0.000
E_form in eV per atom: 0.238
Offset from the most stable computed form in eV per atom: 0.000

The structure in POSCAR format:
```
Na3LiGa
1.0
-0.8970 -4.2774 -3.6509
3.7390 -3.2151 2.8482
-4.2006 -1.9485 3.3149
Na Ga Li
3 1 1
direct
0.0000 0.5000 0.0000 Na
0.0000 0.0000 0.5000 Na
0.5000 0.0000 0.0000 Na
0.0000 0.0000 0.0000 Ga
0.5000 0.5000 0.5000 Li
```